1.
First-principles (PBE) data for a relaxed structure of CePmTe6, as listed in the Alexandria database.

The value obtained for the uncorrected formation energy is -758 kJ/mol of formula units. As for the total magnetization: 1.0 Bohr magnetons per cell. The volume is 521.85 Å³/cell.

It has space group Amm2 (No. 38), with a = 4.4048 Å, b = 4.4040 Å, c = 26.9012 Å, α = 90.00°, β = 90.00° and γ = 90.00°. The distinct sites, in fractional coordinates, are Ce at (0.0000, 0.0000, 0.0000), Pm at (0.5000, 0.0000, 0.6577), Te at (0.0000, 0.0000, 0.1216), Te at (0.0000, 0.0000, 0.4087), Te at (0.0000, 0.0000, 0.7511), Te at (0.5000, 0.0000, 0.2510), Te at (0.5000, 0.0000, 0.5344) and Te at (0.5000, 0.0000, 0.9088).

=====

2.
First-principles (PBE) data for a relaxed structure of Ce2Pm2Te7, as listed in the Alexandria database.

The value obtained for the uncorrected formation energy is -1155 kJ/mol of formula units. As for the total magnetization: 0.6 Bohr magnetons per cell. The volume is 853.29 Å³/cell.

It has space group Cmmm (No. 65), with a = 10.1827 Å, b = 11.0350 Å, c = 7.5939 Å, α = 90.00°, β = 90.00° and γ = 90.00°. The distinct sites, in fractional coordinates, are Ce at (0.0000, 0.2316, 0.0000), Pm at (0.2271, 0.0000, 0.5000), Te at (0.0000, 0.0000, 0.2413), Te at (0.0000, 0.5000, 0.0000) and Te at (0.2500, 0.2500, 0.2605).

=====

3.
First-principles (PBE) data for a relaxed structure of CePm4Te7, as listed in the Alexandria database.

The value obtained for the uncorrected formation energy is -1627 kJ/mol of formula units. As for the total magnetization: 2.5 Bohr magnetons per cell. The volume is 833.11 Å³/cell.

It has space group Cm (No. 8), with a = 14.6964 Å, b = 4.3414 Å, c = 13.4877 Å, α = 90.00°, β = 104.51° and γ = 90.00°. The distinct sites, in fractional coordinates, are Ce at (0.0000, 0.0000, 0.0000), Pm at (0.1161, 0.0000, 0.4253), Pm at (0.2331, 0.0000, 0.8470), Pm at (0.3160, 0.5000, 0.2370), Pm at (0.4161, 0.0000, 0.6129), Te at (0.0780, 0.0000, 0.6409), Te at (0.1167, 0.5000, 0.9223), Te at (0.1544, 0.0000, 0.2092), Te at (0.2775, 0.5000, 0.4723), Te at (0.3570, 0.5000, 0.7708), Te at (0.3728, 0.0000, 0.0765) and Te at (0.4550, 0.0000, 0.3767).

=====

4.
First-principles (PBE) data for a relaxed structure of CePm2Te4, as listed in the Alexandria database.

The value obtained for the uncorrected formation energy is -944 kJ/mol of formula units. As for the total magnetization: 5.3 Bohr magnetons per cell. The volume is 979.86 Å³/cell. The excess energy over the best structure of this formula in the dataset is 0.0 meV/atom.

It has space group Cmcm (No. 63), with a = 4.3857 Å, b = 14.6653 Å, c = 15.2346 Å, α = 90.00°, β = 90.00° and γ = 90.00°. The distinct sites, in fractional coordinates, are Ce at (0.0000, 0.1219, 0.2500), Pm at (0.0000, 0.3677, 0.0667), Te at (0.0000, 0.0000, 0.0000), Te at (0.0000, 0.2765, 0.6240) and Te at (0.0000, 0.4620, 0.2500).

=====

Q: Which formula does entry 4 have?
A: CePm2Te4

=====

Copy entry 2 word for word.
First-principles (PBE) data for a relaxed structure of Ce2Pm2Te7, as listed in the Alexandria database.

The value obtained for the uncorrected formation energy is -1155 kJ/mol of formula units. As for the total magnetization: 0.6 Bohr magnetons per cell. The volume is 853.29 Å³/cell.

It has space group Cmmm (No. 65), with a = 10.1827 Å, b = 11.0350 Å, c = 7.5939 Å, α = 90.00°, β = 90.00° and γ = 90.00°. The distinct sites, in fractional coordinates, are Ce at (0.0000, 0.2316, 0.0000), Pm at (0.2271, 0.0000, 0.5000), Te at (0.0000, 0.0000, 0.2413), Te at (0.0000, 0.5000, 0.0000) and Te at (0.2500, 0.2500, 0.2605).

=====

Q: Which formula does entry 2 have?
A: Ce2Pm2Te7